The following is a DFT calculation (GGA-PBE) of a relaxed TaZnRh crystal.

Cell and atoms, written as POSCAR:
```
TaZnRh
1.0
-0.243 5.123 -0.719
-4.356 -2.749 0.530
0.402 1.782 12.555
Ta Rh Zn
6 6 6
direct
0.500 0.000 0.667 Ta
0.000 0.000 0.500 Ta
0.000 0.000 0.833 Ta
0.000 0.000 0.167 Ta
0.500 0.500 0.000 Ta
0.000 0.500 0.333 Ta
0.341 0.682 0.167 Rh
0.682 0.341 0.833 Rh
0.659 0.341 0.500 Rh
0.659 0.318 0.167 Rh
0.341 0.659 0.500 Rh
0.318 0.659 0.833 Rh
0.500 0.500 0.329 Zn
0.000 0.500 0.662 Zn
0.500 0.500 0.671 Zn
0.000 0.500 0.005 Zn
0.500 0.000 0.995 Zn
0.500 0.000 0.338 Zn
```

Results
For the total energy, the calculation gives -122.9 eV/cell. The space-group type is P6_222. The mass density comes out at 11.81 g/cm³. The value obtained for the formation energy is -0.006 eV per formula unit.